Computed, not measured: crystalline CsZrSnTe3 at its relaxed geometry at the GGA-PBE level of DFT.

Cell and atoms, written as POSCAR:
```
CsZrSnTe3
1.0
2.320 -8.611 0.000
2.320 8.611 0.000
0.000 0.000 12.591
Cs Sn Te Zr
2 2 6 2
direct
0.740 0.260 0.250
0.260 0.740 0.750
0.000 0.000 0.000
0.000 0.000 0.500
0.374 0.626 0.063
0.053 0.947 0.250
0.374 0.626 0.437
0.626 0.374 0.563
0.947 0.053 0.750
0.626 0.374 0.937
0.458 0.542 0.250
0.542 0.458 0.750
```

**E**: -4.4141 eV per atom
**Symmetry**: Cmcm
**Calculated volume**: 503 Å³ per cell

***

Computed, not measured: crystalline CsSn5W3 at its relaxed geometry at the GGA-PBE level of DFT.

Cell and atoms, written as POSCAR:
```
CsSn5W3
1.0
-0.915 5.435 -0.821
-4.302 -3.518 0.417
-0.220 1.380 9.377
Cs Sn W
1 5 3
direct
0.000 0.000 0.000
0.667 0.333 0.243
0.333 0.667 0.243
0.000 0.000 0.500
0.667 0.333 0.757
0.333 0.667 0.757
0.500 0.000 0.500
0.000 0.500 0.500
0.500 0.500 0.500
```

**E**: -6.5163 eV per atom
**Symmetry**: P6/mmm
**Calculated volume**: 255 Å³ per cell

***

Computed, not measured: crystalline CsZnSn at its relaxed geometry at the GGA-PBE level of DFT.

Cell and atoms, written as POSCAR:
```
CsZnSn
1.0
0.000 4.158 4.158
4.158 0.000 4.158
4.158 4.158 0.000
Cs Sn Zn
1 1 1
direct
0.000 0.000 0.000
0.250 0.250 0.250
0.750 0.750 0.750
```

**E**: -1.2652 eV per atom
**Symmetry**: F-43m
**Calculated volume**: 144 Å³ per cell

***

Computed, not measured: crystalline Cs2Zn5Sn3 at its relaxed geometry at the GGA-PBE level of DFT.

Cell and atoms, written as POSCAR:
```
Cs2Zn5Sn3
1.0
4.859 -7.157 7.852
-2.225 -7.434 8.733
-1.502 4.603 -10.632
Cs Sn Zn
2 3 5
direct
0.191 0.191 0.000
0.809 0.809 0.000
0.000 0.000 0.000
0.377 0.377 0.000
0.623 0.623 0.000
0.500 0.500 0.000
0.564 0.064 0.500
0.936 0.436 0.500
0.064 0.564 0.500
0.436 0.936 0.500
```

**E**: -2.0638 eV per atom
**Symmetry**: I4/mmm
**Calculated volume**: 284 Å³ per cell